# 1
SrOs2Pt GGA-PBEsol relaxed; relative energy among the computed polymorphs = 0.1879 eV/atom; volume = 200.0 Å³/cell; calculated formation energy = 0.875 eV/atom
1.0
2.7857 0.0000 0.0000
-1.3928 2.4125 0.0000
0.0000 0.0000 29.7578
Sr Os Pt
3 6 3
Direct
0.0000 0.0000 0.0000
0.3333 0.6667 0.6667
0.6667 0.3333 0.3333
0.0000 0.0000 0.2402
0.0000 0.0000 0.7598
0.3333 0.6667 0.4265
0.3333 0.6667 0.9068
0.6667 0.3333 0.0932
0.6667 0.3333 0.5735
0.0000 0.0000 0.5000
0.3333 0.6667 0.1667
0.6667 0.3333 0.8333


# 2
P2Au2I GGA-PBEsol relaxed; energy relative to the elements, uncorrected = 389 meV/atom; volume = 199.2 Å³/cell
1.0
4.6238 0.0000 0.0000
0.0000 4.6238 0.0000
0.0000 0.0000 9.3175
P Au I
4 4 2
Direct
0.0000 0.0000 0.1218
0.0000 0.0000 0.8782
0.5000 0.5000 0.3782
0.5000 0.5000 0.6218
0.0000 0.5000 0.2500
0.0000 0.5000 0.7500
0.5000 0.0000 0.2500
0.5000 0.0000 0.7500
0.0000 0.0000 0.5000
0.5000 0.5000 0.0000


# 3
Pt2RhBr GGA-PBEsol relaxed; relative energy among the computed polymorphs = 0.1159 eV/atom; energy relative to the elements, uncorrected = 529 meV/atom; volume = 63.0 Å³/cell
1.0
2.7956 0.0000 0.0000
0.0000 4.6385 0.0000
0.0000 0.0000 4.8597
Pt Rh Br
2 1 1
Direct
0.0000 0.0000 0.0000
0.5000 0.5000 0.0000
0.0000 0.5000 0.5000
0.5000 0.0000 0.5000


# 4
SrP2Se GGA-PBEsol relaxed; energy relative to the elements, uncorrected = -297 meV/atom; volume = 350.8 Å³/cell
1.0
5.7568 0.0000 0.0000
0.0000 5.7782 0.0000
0.0000 0.0000 10.5448
Sr P Se
4 8 4
Direct
0.0000 0.0000 0.0000
0.0000 0.5000 0.5000
0.5000 0.0000 0.5000
0.5000 0.5000 0.0000
0.0000 0.2500 0.2500
0.0000 0.2500 0.7500
0.0000 0.7500 0.2500
0.0000 0.7500 0.7500
0.5000 0.2500 0.2500
0.5000 0.2500 0.7500
0.5000 0.7500 0.2500
0.5000 0.7500 0.7500
0.0000 0.0000 0.5000
0.0000 0.5000 0.0000
0.5000 0.0000 0.0000
0.5000 0.5000 0.5000


The lowest volume belongs to which entry?
Pt2RhBr